(1)
The following is a PBE-GGA calculation of an optimized crystal structure of TiRePb2, from the Alexandria database.

The structure in CIF format:
```
data_TiRePb2
_chemical_formula_sum 'Ti4 Re4 Pb8'
_cell_length_a 7.780
_cell_length_b 7.780
_cell_length_c 5.967
_cell_angle_alpha 90.00
_cell_angle_beta 90.00
_cell_angle_gamma 90.00
_space_group_name_H-M_alt 'I -4 2 d'
_space_group_IT_number 122
_space_group_name_Hall 'I -4 2bw'
loop_
_atom_site_label
_atom_site_type_symbol
_atom_site_fract_x
_atom_site_fract_y
_atom_site_fract_z
Ti1 Ti 0.000 0.000 0.000
Re1 Re 0.000 0.000 0.500
Pb1 Pb 0.238 0.250 0.625
```

The density of states at the Fermi level is 16.73 states/eV per cell.

---

(2)
The following is a PBE-GGA calculation of an optimized crystal structure of TiRe3Pb, from the Alexandria database.

The structure in CIF format:
```
data_TiRe3Pb
_chemical_formula_sum 'Ti1 Re3 Pb1'
_cell_length_a 4.889
_cell_length_b 4.889
_cell_length_c 4.889
_cell_angle_alpha 90.00
_cell_angle_beta 90.00
_cell_angle_gamma 90.00
_space_group_name_H-M_alt 'P m -3 m'
_space_group_IT_number 221
_space_group_name_Hall '-P 4 2 3'
loop_
_atom_site_label
_atom_site_type_symbol
_atom_site_fract_x
_atom_site_fract_y
_atom_site_fract_z
Ti1 Ti 0.000 0.000 0.000
Re1 Re 0.000 0.500 0.500
Pb1 Pb 0.500 0.500 0.500
```

The density of states at the Fermi level is 7.60 states/eV per cell.

---

E_tot list, top to bottom, in eV per atom: -5.953; -6.770
Magnetic moment list, top to bottom, in μB/cell: 4.09; 1.41
Formation energy from the elements list, top to bottom, in eV per formula unit: 3.9; 15.1